[1]
Here is a relaxed structure of MnBeBr from Alexandria via LeMat-Bulk. Energies are from PBE-GGA.

Values from the calculation:
Space group = P3m1 (156)
Theoretical density = 4.679 g/cm3
Energy above the most stable polymorph in this dataset = 0 meV per atom
N(E_F) = 1.53 states/eV per cell
Formation energy (no corrections) = 0.431 eV per atom

abc: 3.280 3.280 5.480
angles: 90.00 90.00 120.00
Fractional coordinates of all 3 atoms:
Be  0.000  0.000  0.977
Br  0.667  0.333  0.331
Mn  0.333  0.667  0.692



[2]
Here is a relaxed structure of LaNd8Er2 from Alexandria via LeMat-Bulk. Energies are from PBE-GGA.

Values from the calculation:
Space group = C2/m (12)
Theoretical density = 6.800 g/cm3
N(E_F) = 16.53 states/eV per cell
Energy relative to the elements = 1.44 eV/f.u.

abc: 5.692 10.436 10.436
angles: 39.94 92.97 92.97
Fractional coordinates of all 11 atoms:
Nd  0.760  0.455  0.455
Er  0.254  0.715  0.715
Nd  0.240  0.545  0.545
Nd  0.733  0.405  0.864
Nd  0.733  0.864  0.405
Nd  0.267  0.136  0.595
Nd  0.267  0.595  0.136
Nd  0.233  0.188  0.188
La  0.000  0.000  0.000
Nd  0.767  0.812  0.812
Er  0.746  0.285  0.285